Record 1
10
Lattice="0.000 5.543 5.543 5.543 0.000 5.543 5.543 5.543 0.000" Properties=species:S:1:pos:R:3 comment="Cs2NaMnBr6, optimized geometry, DFT PBE" m_tot_mub_per_cell=4.00 spacegroup="Fm-3m (225)" polymorph_energy_mev_per_atom=13 formation_energy_uncorrected_ev_per_atom=-1.3067 pbc="T T T"
Cs 2.772 2.772 2.772
Cs 8.315 8.315 8.315
Na 0.000 0.000 0.000
Mn 5.543 5.543 5.543
Br 5.543 5.543 2.970
Br 5.543 2.970 5.543
Br 8.116 5.543 5.543
Br 2.970 5.543 5.543
Br 5.543 8.116 5.543
Br 5.543 5.543 8.116

***

Record 2
16
Lattice="8.580 0.000 0.000 -4.290 7.431 0.000 0.000 0.000 6.194" Properties=species:S:1:pos:R:3 comment="Mg5Tl3, optimized geometry, DFT PBE" m_tot_mub_per_cell=0.00 spacegroup="P6_3/mcm (193)" polymorph_energy_mev_per_atom=22 ef_ev_per_atom=-0.0070 pbc="T T T"
Mg -0.995 1.723 1.548
Mg -3.295 5.707 4.645
Mg 1.990 0.000 1.548
Mg 0.995 1.723 4.645
Mg 0.000 4.954 0.000
Mg 0.000 4.954 3.097
Mg 4.290 2.477 0.000
Mg 4.290 2.477 3.097
Mg 6.590 0.000 4.645
Mg 3.295 5.707 1.548
Tl -1.709 2.960 4.645
Tl -2.581 4.471 1.548
Tl 3.417 0.000 4.645
Tl 1.709 2.960 1.548
Tl 5.163 0.000 1.548
Tl 2.581 4.471 4.645

***

Record 3
4
Lattice="-1.401 2.081 4.143 1.401 -2.081 4.143 1.401 2.081 -4.143" Properties=species:S:1:pos:R:3 comment="BeFeRe2, optimized geometry, DFT PBE" m_tot_mub_per_cell=0.39 spacegroup="Imm2 (44)" ef_ev_per_atom=0.0190 pbc="T T T"
Be 0.000 0.000 0.000
Fe 1.401 0.000 1.773
Re 0.000 0.000 3.954
Re 0.000 2.081 2.114

***

Record 4
5
Lattice="5.223 0.000 0.000 0.000 5.223 0.000 0.000 0.000 6.694" Properties=species:S:1:pos:R:3 comment="RbSrIN2, optimized geometry, DFT PBE" m_tot_mub_per_cell=4.00 spacegroup="P4/mmm (123)" polymorph_energy_mev_per_atom=0 formation_energy_uncorrected_ev_per_atom=0.4695 pbc="T T T"
Rb 0.000 0.000 0.000
Sr 2.611 2.611 3.347
I 2.611 2.611 0.000
N 0.000 2.611 3.347
N 2.611 0.000 3.347